[1]
Compound: MgCr2Br
Source: Alexandria
Functional: PBE
Structure: optimized geometry

Structure (POSCAR):
```
MgCr2Br
1.0
5.4305 -1.6712 0.0000
5.4305 1.6712 0.0000
-2.4431 0.0000 4.6372
Mg Cr Br
1 2 1
Direct
0.0000 0.0000 0.0000
0.2351 0.2351 0.7369
0.7649 0.7649 0.2631
0.5000 0.5000 0.5000
```

Values from the calculation:
- Total energy: -5.0401 eV per atom
- ΔE_f (raw): 0.59 eV/atom
- Relative energy among the computed polymorphs: 39.1 kJ per mole of atoms
- SG: No. 12
- ρ: 4.11 g/cm³
- M_tot: 8.9 μB per cell

***

[2]
Compound: EuTl2Cu
Source: Alexandria
Functional: PBE
Structure: optimized geometry

Structure (POSCAR):
```
EuTl2Cu
1.0
0.0000 3.6734 3.6734
3.6734 0.0000 3.6734
3.6734 3.6734 0.0000
Eu Tl Cu
1 2 1
Direct
0.0000 0.0000 0.0000
0.2500 0.2500 0.2500
0.7500 0.7500 0.7500
0.5000 0.5000 0.5000
```

Values from the calculation:
- Total energy: -4.8201 eV per atom
- Relative energy among the computed polymorphs: 5.8 kJ per mole of atoms
- SG: No. 225
- ρ: 10.46 g/cm³
- M_tot: 6.9 μB per cell
- ΔE_f: -0.04 eV/atom

***

[3]
Compound: Ba2HoPbO5
Source: Alexandria
Functional: PBE
Structure: optimized geometry

Structure (POSCAR):
```
Ba2HoPbO5
1.0
1.8136 -7.8514 0.0000
1.8136 7.8514 0.0000
0.0000 0.0000 11.4580
Ba Ho Pb O
4 2 2 10
Direct
0.1246 0.8754 0.5000
0.1347 0.8653 0.0627
0.8653 0.1347 0.5627
0.8754 0.1246 0.0000
0.2245 0.7755 0.7879
0.7755 0.2245 0.2879
0.4898 0.5102 0.2628
0.5102 0.4898 0.7628
0.0769 0.9231 0.8247
0.2801 0.7199 0.4180
0.2921 0.7079 0.1603
0.3666 0.6334 0.7907
0.4994 0.5006 0.0721
0.5006 0.4994 0.5721
0.6334 0.3666 0.2907
0.7079 0.2921 0.6603
0.7199 0.2801 0.9180
0.9231 0.0769 0.3247
```

Values from the calculation:
- Total energy: -6.4506 eV per atom
- ΔE_f (raw): -2.35 eV/atom
- SG: No. 36
- ρ: 7.40 g/cm³
- M_tot: 0.0 μB per cell

***

[4]
Compound: Tb3NdHo3Se8
Source: Alexandria
Functional: PBE
Structure: optimized geometry

Structure (POSCAR):
```
Tb3NdHo3Se8
1.0
4.0706 2.3502 6.6484
-4.0706 2.3502 6.6484
0.0000 -4.7003 6.6484
Tb Nd Ho Se
3 1 3 8
Direct
0.0000 0.5000 0.5000
0.5000 0.0000 0.5000
0.5000 0.5000 0.0000
0.5000 0.5000 0.5000
0.0000 0.0000 0.5000
0.0000 0.5000 0.0000
0.5000 0.0000 0.0000
0.2378 0.7598 0.7598
0.2402 0.2402 0.7622
0.2402 0.7622 0.2402
0.2488 0.2488 0.2488
0.7512 0.7512 0.7512
0.7598 0.2378 0.7598
0.7598 0.7598 0.2378
0.7622 0.2402 0.2402
```

Values from the calculation:
- Total energy: -5.8450 eV per atom
- ΔE_f (raw): -1.83 eV/atom
- SG: No. 166
- ρ: 7.60 g/cm³
- M_tot: 0.0 μB per cell

***

[5]
Compound: In2MoAs2
Source: Alexandria
Functional: PBE
Structure: optimized geometry

Structure (POSCAR):
```
In2MoAs2
1.0
6.6002 0.0000 0.0000
0.0000 6.6002 0.0000
0.0000 0.0000 4.8387
In Mo As
4 2 4
Direct
0.1773 0.3227 0.0000
0.3227 0.8227 0.0000
0.6773 0.1773 0.0000
0.8227 0.6773 0.0000
0.0000 0.0000 0.5000
0.5000 0.5000 0.5000
0.1429 0.6429 0.5000
0.3571 0.1429 0.5000
0.6429 0.8571 0.5000
0.8571 0.3571 0.5000
```

Values from the calculation:
- Total energy: -4.9240 eV per atom
- SG: No. 127
- ρ: 7.49 g/cm³
- M_tot: 0.6 μB per cell
- ΔE_f: 0.20 eV/atom

***

[6]
Compound: PmGaBiRh
Source: Alexandria
Functional: PBE
Structure: optimized geometry

Structure (POSCAR):
```
PmGaBiRh
1.0
0.0000 3.5332 3.5332
3.5332 0.0000 3.5332
3.5332 3.5332 0.0000
Pm Ga Bi Rh
1 1 1 1
Direct
0.0000 0.0000 0.0000
0.7500 0.7500 0.7500
0.5000 0.5000 0.5000
0.2500 0.2500 0.2500
```

Values from the calculation:
- Total energy: -5.2213 eV per atom
- SG: No. 216
- ρ: 9.91 g/cm³
- M_tot: 0.0 μB per cell
- ΔE_f: -0.47 eV/atom

***

[7]
Compound: Ti5FeRe4
Source: Alexandria
Functional: PBE
Structure: optimized geometry

Structure (POSCAR):
```
Ti5FeRe4
1.0
3.0923 0.0000 0.0000
0.0000 3.0923 0.0000
0.0000 0.0000 15.4699
Ti Fe Re
5 1 4
Direct
0.0000 0.0000 0.0000
0.0000 0.0000 0.2036
0.0000 0.0000 0.4056
0.0000 0.0000 0.5944
0.0000 0.0000 0.7964
0.5000 0.5000 0.5000
0.5000 0.5000 0.1016
0.5000 0.5000 0.3053
0.5000 0.5000 0.6947
0.5000 0.5000 0.8984
```

Values from the calculation:
- Total energy: -10.1546 eV per atom
- SG: No. 123
- ρ: 11.67 g/cm³
- M_tot: 0.0 μB per cell
- ΔE_f: -0.38 eV/atom

***

[8]
Compound: SrNbSeN2
Source: Alexandria
Functional: PBE
Structure: optimized geometry

Structure (POSCAR):
```
SrNbSeN2
1.0
4.1617 0.0000 0.0000
0.0000 4.1617 0.0000
0.0000 0.0000 5.3485
Sr Nb Se N
1 1 1 2
Direct
0.0000 0.0000 0.0000
0.5000 0.5000 0.5000
0.5000 0.5000 0.0000
0.0000 0.5000 0.5000
0.5000 0.0000 0.5000
```

Values from the calculation:
- Total energy: -6.9719 eV per atom
- ΔE_f (raw): -0.59 eV/atom
- Relative energy among the computed polymorphs: 0.0 kJ per mole of atoms
- SG: No. 123
- ρ: 5.15 g/cm³
- M_tot: 0.4 μB per cell

***

[9]
Compound: Ti3AlH
Source: Alexandria
Functional: PBE
Structure: optimized geometry

Structure (POSCAR):
```
Ti3AlH
1.0
4.6650 0.0000 0.0000
0.0000 5.5710 0.0000
-0.0487 0.0000 5.2414
Ti Al H
6 2 2
Direct
0.2470 0.0012 0.3486
0.2470 0.4988 0.3486
0.2477 0.2500 0.8789
0.7523 0.7500 0.1211
0.7530 0.5012 0.6514
0.7530 0.9988 0.6514
0.2470 0.7500 0.8419
0.7530 0.2500 0.1581
0.4599 0.2500 0.5668
0.5401 0.7500 0.4332
```

Values from the calculation:
- Total energy: -6.4806 eV per atom
- SG: No. 11
- ρ: 4.18 g/cm³
- M_tot: 0.0 μB per cell

***

[10]
Compound: BaCa2Ir
Source: Alexandria
Functional: PBE
Structure: optimized geometry

Structure (POSCAR):
```
BaCa2Ir
1.0
3.7028 0.0000 0.0000
0.0000 3.7028 0.0000
0.0000 0.0000 10.1052
Ba Ca Ir
1 2 1
Direct
0.0000 0.0000 0.0000
0.0000 0.0000 0.6656
0.5000 0.5000 0.3636
0.5000 0.5000 0.8110
```

Values from the calculation:
- Total energy: -3.7084 eV per atom
- Relative energy among the computed polymorphs: 21.9 kJ per mole of atoms
- SG: No. 99
- ρ: 4.91 g/cm³
- M_tot: 0.0 μB per cell
- ΔE_f: -0.01 eV/atom

***

[11]
Compound: Sr6Hg3Ir
Source: Alexandria
Functional: PBE
Structure: optimized geometry

Structure (POSCAR):
```
Sr6Hg3Ir
1.0
7.5735 0.0000 0.0000
0.0000 8.7625 0.0000
-7.2682 0.0000 11.4974
Sr Hg Ir
12 6 2
Direct
0.0885 0.0428 0.2357
0.0885 0.4572 0.7357
0.2099 0.7002 0.0668
0.2099 0.7998 0.5668
0.3863 0.1625 0.0631
0.3863 0.3375 0.5631
0.6137 0.6625 0.4369
0.6137 0.8375 0.9369
0.7901 0.2002 0.4332
0.7901 0.2998 0.9332
0.9115 0.5428 0.2643
0.9115 0.9572 0.7643
0.3075 0.1135 0.7461
0.3075 0.3865 0.2461
0.5000 0.0000 0.5000
0.5000 0.5000 0.0000
0.6925 0.6135 0.7539
0.6925 0.8865 0.2539
0.0000 0.0000 0.0000
0.0000 0.5000 0.5000
```

Values from the calculation:
- Total energy: -2.3513 eV per atom
- SG: No. 14
- ρ: 5.74 g/cm³
- M_tot: 0.0 μB per cell
- ΔE_f: -0.37 eV/atom

***

[12]
Compound: Np2InTc
Source: Alexandria
Functional: PBE
Structure: optimized geometry

Structure (POSCAR):
```
Np2InTc
1.0
3.7655 0.0000 0.0000
0.0000 3.7655 0.0000
0.0000 0.0000 6.1348
Np In Tc
2 1 1
Direct
0.0000 0.0000 0.2141
0.0000 0.0000 0.7859
0.5000 0.5000 0.5000
0.5000 0.5000 0.0000
```

Values from the calculation:
- Total energy: -9.4520 eV per atom
- SG: No. 123
- ρ: 13.11 g/cm³
- M_tot: 6.8 μB per cell
- ΔE_f: 0.29 eV/atom